## TiNbTcOs (PBE-GGA)

Data for a relaxed structure of TiNbTcOs.

Unit cell a=3.1467 b=3.1467 c=6.2877 alpha=90.00 beta=90.00 gamma=90.00
Closest atoms and distances in Å follow each position.
Fractional coordinates of all 4 atoms:
Ti (0.0000, 0.0000, 0.8599)  4 Tc 2.70, 4 Os 2.71
Nb (0.0000, 0.0000, 0.3531)  4 Tc 2.73, 4 Os 2.76
Tc (0.5000, 0.5000, 0.1022)  4 Ti 2.70, 4 Nb 2.73
Os (0.5000, 0.5000, 0.6128)  4 Ti 2.71, 4 Nb 2.76

Properties
DOS(E_F) in states/eV/f.u.: 1.585
Energy above the most stable polymorph in this dataset in meV per atom: 21.4
VASP energy in eV per atom: -10.381
Formation energy from the elements in eV/atom: -0.491
Space-group type: P4mm (99)